Record 1
The following is a DFT calculation (PBE) of a geometry-optimized TlH structure.

Calculated values
magnetic moment	0.00	μB/atom
uncorrected energy	-0.1858	Ry/atom

The structure in CIF format:
```
data_TlH
_cell_length_a 3.8060
_cell_length_b 12.2305
_cell_length_c 5.1155
_cell_angle_alpha 90.00
_cell_angle_beta 90.00
_cell_angle_gamma 90.00
_symmetry_space_group_name_H-M 'A m m 2'
_symmetry_Int_Tables_number 38
loop_
_symmetry_equiv_pos_as_xyz
'x,y,z'
'-x,-y,z'
'-x,y,z'
'x,-y,z'
'x,y+1/2,z+1/2'
'-x,-y+1/2,z+1/2'
'-x,y+1/2,z+1/2'
'x,-y+1/2,z+1/2'
loop_
_atom_site_label
_atom_site_type_symbol
_atom_site_fract_x
_atom_site_fract_y
_atom_site_fract_z
_atom_site_occupancy
Tl1 Tl 0.0000 0.0000 0.0000 1
Tl2 Tl 0.5000 0.1554 0.5095 1
H1 H 0.0000 0.1436 0.2526 1
H2 H 0.5000 0.0000 0.3008 1
```



Record 2
The following is a DFT calculation (PBE) of a geometry-optimized TlH structure.

Calculated values
magnetic moment	0.00	μB/atom
uncorrected energy	-0.1832	Ry/atom

The structure in CIF format:
```
data_TlH
_cell_length_a 7.3395
_cell_length_b 9.2946
_cell_length_c 9.4804
_cell_angle_alpha 90.00
_cell_angle_beta 90.00
_cell_angle_gamma 90.00
_symmetry_space_group_name_H-M 'F d d d'
_symmetry_Int_Tables_number 70
loop_
_symmetry_equiv_pos_as_xyz
'x,y,z'
'-x,-y,-z'
'-x+1/4,-y+1/4,z'
'x+1/4,y+1/4,-z'
'x,-y+1/4,-z+1/4'
'-x,y+1/4,z+1/4'
'-x+1/4,y,-z+1/4'
'x+1/4,-y,z+1/4'
'x,y+1/2,z+1/2'
'-x,-y+1/2,-z+1/2'
'-x+1/4,-y+3/4,z+1/2'
'x+1/4,y+3/4,-z+1/2'
'x,-y+3/4,-z+3/4'
'-x,y+3/4,z+3/4'
'-x+1/4,y+1/2,-z+3/4'
'x+1/4,-y+1/2,z+3/4'
'x+1/2,y,z+1/2'
'-x+1/2,-y,-z+1/2'
'-x+3/4,-y+1/4,z+1/2'
'x+3/4,y+1/4,-z+1/2'
'x+1/2,-y+1/4,-z+3/4'
'-x+1/2,y+1/4,z+3/4'
'-x+3/4,y,-z+3/4'
'x+3/4,-y,z+3/4'
'x+1/2,y+1/2,z'
'-x+1/2,-y+1/2,-z'
'-x+3/4,-y+3/4,z'
'x+3/4,y+3/4,-z'
'x+1/2,-y+3/4,-z+1/4'
'-x+1/2,y+3/4,z+1/4'
'-x+3/4,y+1/2,-z+1/4'
'x+3/4,-y+1/2,z+1/4'
loop_
_atom_site_label
_atom_site_type_symbol
_atom_site_fract_x
_atom_site_fract_y
_atom_site_fract_z
_atom_site_occupancy
Tl1 Tl 0.1229 0.3750 0.3750 1
H1 H 0.1250 0.1250 0.4893 1
```



Record 3
The following is a DFT calculation (PBE) of a geometry-optimized TlH structure.

Calculated values
magnetic moment	0.00	μB/atom
uncorrected energy	-0.1872	Ry/atom

The structure in CIF format:
```
data_TlH
_cell_length_a 5.5677
_cell_length_b 7.3293
_cell_length_c 7.9717
_cell_angle_alpha 90.00
_cell_angle_beta 90.00
_cell_angle_gamma 90.00
_symmetry_space_group_name_H-M 'P 21 21 21'
_symmetry_Int_Tables_number 19
loop_
_symmetry_equiv_pos_as_xyz
'x,y,z'
'-x+1/2,-y,z+1/2'
'x+1/2,-y+1/2,-z'
'-x,y+1/2,-z+1/2'
loop_
_atom_site_label
_atom_site_type_symbol
_atom_site_fract_x
_atom_site_fract_y
_atom_site_fract_z
_atom_site_occupancy
Tl1 Tl 0.2323 0.1424 0.3599 1
Tl2 Tl 0.2442 0.4137 0.9380 1
H1 H 0.0726 0.7609 0.2745 1
H2 H 0.0856 0.7562 0.6174 1
```



Record 4
The following is a DFT calculation (PBE) of a geometry-optimized Tl2H structure.

Calculated values
magnetic moment	0.00	μB/atom
uncorrected energy	-0.1793	Ry/atom

The structure in CIF format:
```
data_Tl2H
_cell_length_a 13.3364
_cell_length_b 3.4791
_cell_length_c 6.7986
_cell_angle_alpha 90.00
_cell_angle_beta 118.60
_cell_angle_gamma 90.00
_symmetry_space_group_name_H-M 'C 1 2/m 1'
_symmetry_Int_Tables_number 12
loop_
_symmetry_equiv_pos_as_xyz
'x,y,z'
'-x,-y,-z'
'-x,y,-z'
'x,-y,z'
'x+1/2,y+1/2,z'
'-x+1/2,-y+1/2,-z'
'-x+1/2,y+1/2,-z'
'x+1/2,-y+1/2,z'
loop_
_atom_site_label
_atom_site_type_symbol
_atom_site_fract_x
_atom_site_fract_y
_atom_site_fract_z
_atom_site_occupancy
Tl1 Tl 0.0030 0.0000 0.2548 1
Tl2 Tl 0.2312 0.5000 0.2273 1
H1 H 0.1557 0.5000 0.8519 1
```



Record 5
The following is a DFT calculation (PBE) of a geometry-optimized TlH structure.

Calculated values
magnetic moment	0.00	μB/atom
uncorrected energy	-0.1779	Ry/atom

The structure in CIF format:
```
data_TlH
_cell_length_a 5.2362
_cell_length_b 5.2362
_cell_length_c 5.2362
_cell_angle_alpha 90.00
_cell_angle_beta 90.00
_cell_angle_gamma 90.00
_symmetry_space_group_name_H-M 'F m -3 m'
_symmetry_Int_Tables_number 225
_symmetry_space_group_name_Hall '-F 4 2 3'
loop_
_atom_site_label
_atom_site_type_symbol
_atom_site_fract_x
_atom_site_fract_y
_atom_site_fract_z
_atom_site_occupancy
Tl1 Tl 0.0000 0.0000 0.0000 1
H1 H 0.0000 0.0000 0.5000 1
```



Record 6
The following is a DFT calculation (PBE) of a geometry-optimized TlH structure.

Calculated values
magnetic moment	0.00	μB/atom
uncorrected energy	-0.1786	Ry/atom

The structure in CIF format:
```
data_TlH
_cell_length_a 3.7909
_cell_length_b 3.7909
_cell_length_c 6.5435
_cell_angle_alpha 90.00
_cell_angle_beta 90.00
_cell_angle_gamma 120.00
_symmetry_space_group_name_H-M 'P 63 m c'
_symmetry_Int_Tables_number 186
_symmetry_space_group_name_Hall 'P 6c -2c'
loop_
_atom_site_label
_atom_site_type_symbol
_atom_site_fract_x
_atom_site_fract_y
_atom_site_fract_z
_atom_site_occupancy
Tl1 Tl 0.3333 0.6667 0.0000 1
H1 H 0.3333 0.6667 0.6409 1
```



Record 7
The following is a DFT calculation (PBE) of a geometry-optimized TlH structure.

Calculated values
magnetic moment	0.00	μB/atom
uncorrected energy	-0.1841	Ry/atom

The structure in CIF format:
```
data_TlH
_cell_length_a 11.1056
_cell_length_b 11.1056
_cell_length_c 3.4698
_cell_angle_alpha 90.00
_cell_angle_beta 90.00
_cell_angle_gamma 90.00
_symmetry_space_group_name_H-M 'I 4/m'
_symmetry_Int_Tables_number 87
_symmetry_space_group_name_Hall '-I 4'
loop_
_atom_site_label
_atom_site_type_symbol
_atom_site_fract_x
_atom_site_fract_y
_atom_site_fract_z
_atom_site_occupancy
Tl1 Tl 0.1317 0.3346 0.0000 1
H1 H 0.1584 0.7649 0.0000 1
```



Record 8
The following is a DFT calculation (PBE) of a geometry-optimized TlH structure.

Calculated values
magnetic moment	0.00	μB/atom
uncorrected energy	-0.1878	Ry/atom

The structure in CIF format:
```
data_TlH
_cell_length_a 3.8754
_cell_length_b 3.9440
_cell_length_c 5.1022
_cell_angle_alpha 90.00
_cell_angle_beta 90.00
_cell_angle_gamma 90.00
_symmetry_space_group_name_H-M 'P m m n'
_symmetry_Int_Tables_number 59
loop_
_symmetry_equiv_pos_as_xyz
'x,y,z'
'-x,-y,-z'
'-x+1/2,-y+1/2,z'
'x+1/2,y+1/2,-z'
'x+1/2,-y,-z'
'-x+1/2,y,z'
'-x,y+1/2,-z'
'x,-y+1/2,z'
loop_
_atom_site_label
_atom_site_type_symbol
_atom_site_fract_x
_atom_site_fract_y
_atom_site_fract_z
_atom_site_occupancy
Tl1 Tl 0.2500 0.2500 0.2444 1
H1 H 0.2500 0.7500 0.4973 1
```



Record 9
The following is a DFT calculation (PBE) of a geometry-optimized TlH structure.

Calculated values
magnetic moment	0.00	μB/atom
uncorrected energy	-0.1782	Ry/atom

The structure in CIF format:
```
data_TlH
_cell_length_a 5.4492
_cell_length_b 5.4492
_cell_length_c 5.4492
_cell_angle_alpha 90.00
_cell_angle_beta 90.00
_cell_angle_gamma 90.00
_symmetry_space_group_name_H-M 'F -4 3 m'
_symmetry_Int_Tables_number 216
_symmetry_space_group_name_Hall 'F -4 2 3'
loop_
_atom_site_label
_atom_site_type_symbol
_atom_site_fract_x
_atom_site_fract_y
_atom_site_fract_z
_atom_site_occupancy
Tl1 Tl 0.0000 0.0000 0.0000 1
H1 H 0.2500 0.2500 0.2500 1
```



Record 10
The following is a DFT calculation (PBE) of a geometry-optimized TlH structure.

Calculated values
magnetic moment	0.00	μB/atom
uncorrected energy	-0.1849	Ry/atom

The structure in CIF format:
```
data_TlH
_cell_length_a 5.1478
_cell_length_b 5.0322
_cell_length_c 5.8041
_cell_angle_alpha 90.00
_cell_angle_beta 90.97
_cell_angle_gamma 90.00
_symmetry_space_group_name_H-M 'C 1 2/m 1'
_symmetry_Int_Tables_number 12
loop_
_symmetry_equiv_pos_as_xyz
'x,y,z'
'-x,-y,-z'
'-x,y,-z'
'x,-y,z'
'x+1/2,y+1/2,z'
'-x+1/2,-y+1/2,-z'
'-x+1/2,y+1/2,-z'
'x+1/2,-y+1/2,z'
loop_
_atom_site_label
_atom_site_type_symbol
_atom_site_fract_x
_atom_site_fract_y
_atom_site_fract_z
_atom_site_occupancy
Tl1 Tl 0.2326 0.0000 0.2496 1
H1 H 0.2240 0.0000 0.8693 1
```



Record 11
The following is a DFT calculation (PBE) of a geometry-optimized TlH structure.

Calculated values
magnetic moment	0.00	μB/atom
uncorrected energy	-0.1871	Ry/atom

The structure in CIF format:
```
data_TlH
_cell_length_a 10.1803
_cell_length_b 10.1803
_cell_length_c 3.4308
_cell_angle_alpha 90.00
_cell_angle_beta 90.00
_cell_angle_gamma 90.00
_symmetry_space_group_name_H-M 'I 4/m'
_symmetry_Int_Tables_number 87
_symmetry_space_group_name_Hall '-I 4'
loop_
_atom_site_label
_atom_site_type_symbol
_atom_site_fract_x
_atom_site_fract_y
_atom_site_fract_z
_atom_site_occupancy
Tl1 Tl 0.0554 0.2534 0.0000 1
H1 H 0.1161 0.6272 0.0000 1
```



Record 12
The following is a DFT calculation (PBE) of a geometry-optimized TlH structure.

Calculated values
magnetic moment	0.00	μB/atom
uncorrected energy	-0.1724	Ry/atom

The structure in CIF format:
```
data_TlH
_cell_length_a 6.7908
_cell_length_b 6.7908
_cell_length_c 6.7908
_cell_angle_alpha 90.00
_cell_angle_beta 90.00
_cell_angle_gamma 90.00
_symmetry_space_group_name_H-M 'P m -3 n'
_symmetry_Int_Tables_number 223
_symmetry_space_group_name_Hall '-P 4n 2 3'
loop_
_atom_site_label
_atom_site_type_symbol
_atom_site_fract_x
_atom_site_fract_y
_atom_site_fract_z
_atom_site_occupancy
Tl1 Tl 0.0000 0.2500 0.5000 1
H1 H 0.0000 0.5000 0.2500 1
```



Question: Look up the magnetic moment of the ninth one.
Answer: 0.00 μB/atom